(1)
Here is Sr4CuSn8 after structural relaxation from Alexandria via LeMat-Bulk. Energies are from PBE.

POSCAR file:
```
Sr4CuSn8
1.0
-2.746 -3.101 1.813
3.602 -2.250 1.608
-0.869 10.497 16.637
Sn Sr Cu
8 4 1
Direct
0.500 0.000 0.245
0.500 0.500 0.045
0.000 0.500 0.243
0.500 0.500 0.748
0.500 0.000 0.545
0.000 0.500 0.953
0.000 0.000 0.455
0.000 0.000 0.752
0.500 0.500 0.390
0.000 0.000 0.106
0.500 0.000 0.892
0.000 0.500 0.607
0.000 0.000 0.322
```

Summary:
The crystal system is orthorhombic. The total magnetization comes out at 0.00 μB/atom. As for the formation energy: -0.403 eV per atom. Its symmetry is Pmm2, No. 25. As for the electronic total energy: -3.699 eV per atom.



(2)
Here is SrCuSn3 after structural relaxation from Alexandria via LeMat-Bulk. Energies are from PBE.

POSCAR file:
```
SrCuSn3
1.0
6.072 0.000 0.000
0.000 6.072 0.000
0.000 0.000 6.072
Cu Sr Sn
1 1 3
Direct
0.500 0.500 0.500
0.000 0.000 0.000
0.000 0.000 0.500
0.500 0.000 0.000
0.000 0.500 0.000
```

Summary:
The crystal system is cubic. The total magnetization comes out at 0.18 μB/atom. As for the formation energy: 1.246 eV per atom. Its symmetry is Pm-3m, No. 221. As for the electronic total energy: -2.312 eV per atom.



(3)
Here is SrCuSn3 after structural relaxation from Alexandria via LeMat-Bulk. Energies are from PBE.

POSCAR file:
```
SrCuSn3
1.0
-1.782 -4.412 -2.164
-1.765 -1.573 4.661
-4.586 2.320 -0.953
Sn Cu Sr
3 1 1
Direct
0.000 0.500 0.000
0.500 0.000 0.000
0.000 0.000 0.500
0.000 0.000 0.000
0.500 0.500 0.500
```

Summary:
The crystal system is cubic. The total magnetization comes out at 0.00 μB/atom. As for the formation energy: -0.099 eV per atom. Its symmetry is Pm-3m, No. 221. As for the electronic total energy: -3.656 eV per atom.



(4)
Here is SrCuSn2 after structural relaxation from Alexandria via LeMat-Bulk. Energies are from PBE.

POSCAR file:
```
SrCuSn2
1.0
-0.084 0.299 4.594
-3.706 -2.818 0.116
7.744 -6.341 0.554
Cu Sr Sn
2 2 4
Direct
0.750 0.177 0.351
0.250 0.823 0.649
0.750 0.391 0.784
0.250 0.609 0.216
0.750 0.751 0.500
0.250 0.955 0.914
0.250 0.249 0.500
0.750 0.045 0.086
```

Summary:
The crystal system is monoclinic. The total magnetization comes out at 0.00 μB/atom. As for the formation energy: -0.425 eV per atom. Its symmetry is P2_1/m, No. 11. As for the electronic total energy: -3.871 eV per atom.



(5)
Here is SrCu3Sn3 after structural relaxation from Alexandria via LeMat-Bulk. Energies are from PBE.

POSCAR file:
```
SrCu3Sn3
1.0
7.206 0.000 0.000
0.000 7.206 0.000
0.000 0.000 7.206
Sr Sn Cu
2 6 6
Direct
0.000 0.000 0.000
0.500 0.500 0.500
0.250 0.000 0.500
0.500 0.250 0.000
0.750 0.000 0.500
0.000 0.500 0.250
0.500 0.750 0.000
0.000 0.500 0.750
0.250 0.500 0.000
0.500 0.000 0.250
0.000 0.750 0.500
0.000 0.250 0.500
0.500 0.000 0.750
0.750 0.500 0.000
```

Summary:
The crystal system is cubic. The total magnetization comes out at 0.00 μB/atom. As for the formation energy: 0.048 eV per atom. Its symmetry is Pm-3n, No. 223. As for the electronic total energy: -3.663 eV per atom. For the energy relative to the lowest polymorph listed for this composition, the calculation gives 0.144 eV per atom.



(6)
Here is SrCu4Sn2 after structural relaxation from Alexandria via LeMat-Bulk. Energies are from PBE.

POSCAR file:
```
SrCu4Sn2
1.0
-1.207 6.882 0.681
-2.227 -2.394 -6.213
-3.484 -3.384 5.069
Cu Sn Sr
8 4 2
Direct
0.296 0.527 0.500
0.704 0.473 0.500
0.473 0.973 0.769
0.204 0.704 0.231
0.027 0.796 0.500
0.527 0.027 0.231
0.796 0.296 0.769
0.973 0.204 0.500
0.338 0.162 0.500
0.838 0.338 0.176
0.162 0.662 0.824
0.662 0.838 0.500
0.250 0.250 0.000
0.750 0.750 0.000
```

Summary:
The crystal system is tetragonal. The total magnetization comes out at 0.00 μB/atom. As for the formation energy: -0.226 eV per atom. Its symmetry is I4/mcm, No. 140. As for the electronic total energy: -3.950 eV per atom.



(7)
Here is Sr2Cu3Sn5 after structural relaxation from Alexandria via LeMat-Bulk. Energies are from PBE.

POSCAR file:
```
Sr2Cu3Sn5
1.0
4.411 0.000 -0.751
0.000 7.557 0.000
0.214 0.000 14.578
Cu Sn Sr
6 10 4
Direct
0.042 0.939 0.084
0.958 0.439 0.916
0.611 0.502 0.222
0.778 0.745 0.555
0.389 0.002 0.778
0.222 0.245 0.445
0.052 0.572 0.105
0.705 0.453 0.410
0.715 0.045 0.431
0.948 0.072 0.895
0.412 0.355 0.824
0.285 0.545 0.569
0.295 0.953 0.590
0.123 0.253 0.247
0.877 0.753 0.753
0.588 0.855 0.176
0.829 0.263 0.658
0.472 0.737 0.945
0.171 0.763 0.342
0.528 0.237 0.055
```

Summary:
The crystal system is orthorhombic. The total magnetization comes out at 0.00 μB/atom. As for the formation energy: -0.266 eV per atom. Its symmetry is Cmc2_1, No. 36. As for the electronic total energy: -3.833 eV per atom. For the energy relative to the lowest polymorph listed for this composition, the calculation gives 0.064 eV per atom.



(8)
Here is Sr2CuSn5 after structural relaxation from Alexandria via LeMat-Bulk. Energies are from PBE.

POSCAR file:
```
Sr2CuSn5
1.0
5.883 0.002 2.914
-1.446 5.703 2.914
-0.010 -0.013 7.400
Sn Sr Cu
5 2 1
Direct
0.230 0.230 0.049
0.721 0.721 0.048
0.230 0.722 0.049
0.303 0.303 0.394
0.722 0.230 0.049
0.216 0.716 0.567
0.716 0.216 0.567
0.084 0.084 0.830
```

Summary:
The crystal system is monoclinic. The total magnetization comes out at 0.00 μB/atom. As for the formation energy: -0.278 eV per atom. Its symmetry is Cm, No. 8. As for the electronic total energy: -3.712 eV per atom.



(9)
Here is Sr3Cu2Sn7 after structural relaxation from Alexandria via LeMat-Bulk. Energies are from PBE.

POSCAR file:
```
Sr3Cu2Sn7
1.0
4.809 0.000 0.000
0.000 4.647 -0.779
0.000 0.031 14.650
Sn Cu Sr
7 2 3
Direct
0.000 0.587 0.174
0.000 0.413 0.826
0.500 0.279 0.558
0.000 0.000 0.000
0.500 0.088 0.174
0.500 0.912 0.826
0.500 0.721 0.442
0.500 0.367 0.738
0.500 0.633 0.262
0.000 0.182 0.365
0.000 0.818 0.635
0.500 0.500 0.000
```

Summary:
The crystal system is monoclinic. The total magnetization comes out at 0.00 μB/atom. As for the formation energy: -0.399 eV per atom. Its symmetry is P2/m, No. 10. As for the electronic total energy: -3.837 eV per atom.



(10)
Here is SrCu3Sn3 after structural relaxation from Alexandria via LeMat-Bulk. Energies are from PBE.

POSCAR file:
```
SrCu3Sn3
1.0
-3.831 -0.675 2.027
-2.100 -6.447 -6.116
4.448 -2.241 7.658
Sn Cu Sr
6 6 2
Direct
0.250 0.238 0.940
0.250 0.060 0.298
0.250 0.703 0.762
0.750 0.297 0.238
0.750 0.940 0.702
0.750 0.762 0.060
0.750 0.950 0.410
0.250 0.050 0.590
0.750 0.460 0.050
0.250 0.540 0.950
0.750 0.590 0.540
0.250 0.410 0.460
0.250 0.667 0.333
0.750 0.333 0.667
```

Summary:
The crystal system is hexagonal. The total magnetization comes out at 0.00 μB/atom. As for the formation energy: -0.094 eV per atom. Its symmetry is P6_3/m, No. 176. As for the electronic total energy: -3.805 eV per atom. For the energy relative to the lowest polymorph listed for this composition, the calculation gives 0.002 eV per atom.



(11)
Here is SrCu4Sn12 after structural relaxation from Alexandria via LeMat-Bulk. Energies are from PBE.

POSCAR file:
```
SrCu4Sn12
1.0
-3.662 1.470 -7.186
-0.863 -7.919 1.938
-3.448 4.629 5.821
Sn Cu Sr
12 4 1
Direct
0.820 0.163 0.657
0.837 0.343 0.180
0.180 0.837 0.343
0.163 0.657 0.820
0.657 0.820 0.163
0.343 0.506 0.163
0.343 0.180 0.837
0.163 0.343 0.506
0.506 0.163 0.343
0.657 0.494 0.837
0.494 0.837 0.657
0.837 0.657 0.494
0.500 0.000 0.000
0.000 0.500 0.000
0.500 0.500 0.500
0.000 0.000 0.500
0.000 0.000 0.000
```

Summary:
The crystal system is cubic. The total magnetization comes out at 0.00 μB/atom. As for the formation energy: -0.060 eV per atom. Its symmetry is Im-3, No. 204. As for the electronic total energy: -3.948 eV per atom.



(12)
Here is SrCu3Sn after structural relaxation from Alexandria via LeMat-Bulk. Energies are from PBE.

POSCAR file:
```
SrCu3Sn
1.0
4.930 0.000 0.000
0.000 4.930 0.000
0.000 0.000 4.930
Cu Sn Sr
3 1 1
Direct
0.000 0.000 0.500
0.000 0.500 0.000
0.500 0.000 0.000
0.000 0.000 0.000
0.500 0.500 0.500
```

Summary:
The crystal system is cubic. The total magnetization comes out at 0.00 μB/atom. As for the formation energy: 0.157 eV per atom. Its symmetry is Pm-3m, No. 221. As for the electronic total energy: -3.437 eV per atom. For the energy relative to the lowest polymorph listed for this composition, the calculation gives 0.000 eV per atom.